Entry 1:
AgOs2Au | PBE | relaxed

Summary:
Energy ... -6.26 eV per atom
Volume ... 64.2 Å³ per cell
Theoretical density ... 17.72 g/cm3
Size of the total moment ... 0.00 Bohr magnetons per cell
DFT formation energy ... 886 meV/atom
ΔE to the lowest computed polymorph ... 569 meV/atom

POSCAR file:
```
AgOs2Au
1.0
4.495 0.000 0.000
2.247 3.892 0.000
2.247 1.297 3.670
Os Au Ag
2 1 1
Cartesian
0.000 0.000 0.000
6.742 3.892 2.752
2.247 1.297 0.917
4.495 2.595 1.835
```

Entry 2:
Ag2OsAu | PBE | relaxed

Summary:
Energy ... -4.50 eV per atom
Volume ... 67.2 Å³ per cell
Theoretical density ... 14.91 g/cm3
Size of the total moment ... 0.01 Bohr magnetons per cell
DFT formation energy ... 552 meV/atom
ΔE to the lowest computed polymorph ... 170 meV/atom

POSCAR file:
```
Ag2OsAu
1.0
-0.953 4.788 1.802
-4.200 -2.250 -2.092
-0.644 -1.032 2.403
Os Au Ag
1 1 2
Cartesian
-2.422 -1.641 0.155
-0.798 1.878 2.102
0.000 0.000 0.000
-2.576 1.269 -0.145
```

Entry 3:
AgOs2Au | PBE | relaxed

Summary:
Energy ... -6.47 eV per atom
Volume ... 63.1 Å³ per cell
Theoretical density ... 18.03 g/cm3
Size of the total moment ... 0.00 Bohr magnetons per cell
DFT formation energy ... 677 meV/atom
ΔE to the lowest computed polymorph ... 359 meV/atom

POSCAR file:
```
AgOs2Au
1.0
2.769 0.000 0.000
0.000 4.805 0.003
0.000 3.205 4.747
Os Au Ag
2 1 1
Cartesian
0.000 0.000 0.000
1.384 2.402 0.002
0.000 1.603 2.374
1.384 4.005 2.375
```

Entry 4:
AgOsAu2 | PBE | relaxed

Summary:
Energy ... -4.67 eV per atom
Volume ... 67.7 Å³ per cell
Theoretical density ... 16.98 g/cm3
Size of the total moment ... 0.00 Bohr magnetons per cell
DFT formation energy ... 489 meV/atom
ΔE to the lowest computed polymorph ... 129 meV/atom

POSCAR file:
```
AgOsAu2
1.0
-2.641 1.681 4.072
-2.158 -0.966 4.560
3.870 1.263 3.027
Os Au Ag
1 2 1
Cartesian
-0.545 0.962 5.763
3.794 1.241 2.983
-0.091 0.524 2.936
-0.683 1.502 8.834
```

Entry 5:
AgOs2Au | PBE | relaxed

Summary:
Energy ... -6.71 eV per atom
Volume ... 64.5 Å³ per cell
Theoretical density ... 17.64 g/cm3
Size of the total moment ... 0.00 Bohr magnetons per cell
DFT formation energy ... 439 meV/atom
ΔE to the lowest computed polymorph ... 121 meV/atom

POSCAR file:
```
AgOs2Au
1.0
-1.956 2.966 1.493
-2.307 -0.831 -1.372
-3.861 -4.200 3.287
Os Au Ag
2 1 1
Cartesian
-2.363 -0.951 -1.207
-2.464 0.345 1.062
-5.603 -2.289 2.181
-3.083 -2.515 0.958
```

Entry 6:
AgOs2Au | PBE | relaxed

Summary:
Energy ... -6.36 eV per atom
Volume ... 64.8 Å³ per cell
Theoretical density ... 17.57 g/cm3
Size of the total moment ... 0.00 Bohr magnetons per cell
DFT formation energy ... 788 meV/atom
ΔE to the lowest computed polymorph ... 470 meV/atom

POSCAR file:
```
AgOs2Au
1.0
2.740 -0.018 0.000
-1.346 2.386 0.000
0.000 0.000 9.943
Os Au Ag
2 1 1
Cartesian
0.000 0.000 0.002
0.000 0.000 4.969
0.697 1.184 7.457
0.697 1.184 2.486
```

Entry 7:
AgOsAu2 | PBE | relaxed

Summary:
Energy ... -4.49 eV per atom
Volume ... 68.5 Å³ per cell
Theoretical density ... 16.78 g/cm3
Size of the total moment ... 1.86 Bohr magnetons per cell
DFT formation energy ... 666 meV/atom
ΔE to the lowest computed polymorph ... 307 meV/atom

POSCAR file:
```
AgOsAu2
1.0
4.813 -0.051 0.000
1.066 4.694 0.000
-2.940 -2.321 3.023
Os Au Ag
1 2 1
Cartesian
0.533 2.347 1.512
0.000 0.000 0.000
2.940 2.321 0.000
2.407 -0.026 1.512
```

Entry 8:
AgOs2Au | PBE | relaxed

Summary:
Energy ... -6.47 eV per atom
Volume ... 63.3 Å³ per cell
Theoretical density ... 17.99 g/cm3
Size of the total moment ... 0.01 Bohr magnetons per cell
DFT formation energy ... 674 meV/atom
ΔE to the lowest computed polymorph ... 356 meV/atom

POSCAR file:
```
AgOs2Au
1.0
9.634 0.009 0.005
9.233 2.752 0.005
9.233 1.351 2.397
Os Au Ag
2 1 1
Cartesian
0.013 0.002 0.001
14.038 2.054 1.202
21.075 3.084 1.805
7.025 1.028 0.602
```

Entry 9:
AgOsAu2 | PBE | relaxed

Summary:
Energy ... -4.80 eV per atom
Volume ... 67.1 Å³ per cell
Theoretical density ... 17.14 g/cm3
Size of the total moment ... 0.00 Bohr magnetons per cell
DFT formation energy ... 360 meV/atom
ΔE to the lowest computed polymorph ... 0 meV/atom

POSCAR file:
```
AgOsAu2
1.0
9.770 0.016 0.010
9.354 2.821 0.010
9.354 1.388 2.456
Os Au Ag
1 2 1
Cartesian
7.119 1.056 0.619
28.405 4.215 2.469
14.311 2.123 1.244
21.358 3.169 1.857
```

Entry 10:
Ag2OsAu | PBE | relaxed

Summary:
Energy ... -4.62 eV per atom
Volume ... 67.8 Å³ per cell
Theoretical density ... 14.77 g/cm3
Size of the total moment ... 0.00 Bohr magnetons per cell
DFT formation energy ... 430 meV/atom
ΔE to the lowest computed polymorph ... 49 meV/atom

POSCAR file:
```
Ag2OsAu
1.0
2.768 -0.010 0.000
-1.299 2.444 0.000
0.000 0.000 10.037
Os Au Ag
1 1 2
Cartesian
0.734 1.217 7.528
0.734 1.217 2.509
0.000 0.000 9.985
0.000 0.000 5.070
```

Entry 11:
Ag2OsAu | PBE | relaxed

Summary:
Energy ... -4.48 eV per atom
Volume ... 67.5 Å³ per cell
Theoretical density ... 14.83 g/cm3
Size of the total moment ... 0.00 Bohr magnetons per cell
DFT formation energy ... 571 meV/atom
ΔE to the lowest computed polymorph ... 189 meV/atom

POSCAR file:
```
Ag2OsAu
1.0
-0.162 -1.600 2.156
-1.470 -3.244 -2.517
5.409 -1.756 -0.895
Os Au Ag
1 1 2
Cartesian
3.241 -3.738 -0.852
0.536 -2.861 -0.404
5.358 -1.739 -0.887
2.754 -0.894 -0.456
```

Entry 12:
AgOsAu2 | PBE | relaxed

Summary:
Energy ... -4.47 eV per atom
Volume ... 68.1 Å³ per cell
Theoretical density ... 16.89 g/cm3
Size of the total moment ... 1.72 Bohr magnetons per cell
DFT formation energy ... 688 meV/atom
ΔE to the lowest computed polymorph ... 329 meV/atom

POSCAR file:
```
AgOsAu2
1.0
4.963 -0.037 0.000
1.587 4.702 0.000
-3.275 -2.332 2.909
Os Au Ag
1 2 1
Cartesian
3.275 2.332 0.000
0.000 0.000 0.000
0.794 2.351 1.455
2.481 -0.019 1.455
```

Please write out number 11 again, unchanged.
Ag2OsAu | PBE | relaxed

Summary:
Energy ... -4.48 eV per atom
Volume ... 67.5 Å³ per cell
Theoretical density ... 14.83 g/cm3
Size of the total moment ... 0.00 Bohr magnetons per cell
DFT formation energy ... 571 meV/atom
ΔE to the lowest computed polymorph ... 189 meV/atom

POSCAR file:
```
Ag2OsAu
1.0
-0.162 -1.600 2.156
-1.470 -3.244 -2.517
5.409 -1.756 -0.895
Os Au Ag
1 1 2
Cartesian
3.241 -3.738 -0.852
0.536 -2.861 -0.404
5.358 -1.739 -0.887
2.754 -0.894 -0.456
```